{"formula": "ReHgN2", "functional": "PBE", "state": "optimized geometry", "lattice": [[1.5643, 0.9031, 6.8013], [-1.5643, 0.9031, 6.8013], [0.0000, -1.8063, 6.8013]], "species": ["Re", "Hg", "N", "N"], "fractional_positions": [[0.0000, 0.0000, 0.0000], [0.5000, 0.5000, 0.5000], [0.0904, 0.0904, 0.0904], [0.9096, 0.9096, 0.9096]], "magmom_total_mub_per_cell": 0.00, "total_energy_ev_per_cell": -24.12, "sg": "R-3m (166)"}